[1]
Compound: TaGaCo4
Source: the Alexandria database
Functional: PBE
Structure: relaxed

Lattice parameters (Å, degrees): 4.6950 4.6950 4.6950 60.00 60.00 60.00
Positions (direct):
Co 0.6259 0.6259 0.1222
Co 0.6259 0.1222 0.6259
Co 0.6259 0.6259 0.6259
Co 0.1222 0.6259 0.6259
Ga 0.0000 0.0000 0.0000
Ta 0.2500 0.2500 0.2500

## Properties
Its energy above the most stable polymorph in this dataset is 0.0000 eV/atom. The formation energy is -154 meV/atom. Its size of the total moment is 0.00 μB/cell.

[2]
Compound: Hf2ZrRe
Source: the Alexandria database
Functional: PBE
Structure: relaxed

Lattice parameters (Å, degrees): 3.3956 4.8005 4.8005 90.00 90.00 90.00
Positions (direct):
Re 0.5000 0.0000 0.0000
Hf 0.0000 0.0000 0.5000
Hf 0.0000 0.5000 0.0000
Zr 0.5000 0.5000 0.5000

## Properties
Its energy above the most stable polymorph in this dataset is 0.1588 eV/atom. The formation energy is -12 meV/atom. Its size of the total moment is 0.00 μB/cell.

[3]
Compound: CeGd2Rh
Source: the Alexandria database
Functional: PBE
Structure: relaxed

Lattice parameters (Å, degrees): 5.1069 5.1069 5.1105 60.02 60.02 60.00
Each line ends with the local moment (μB).
Positions (direct):
Gd 0.2501 0.2501 0.2497  7.21
Gd 0.7499 0.7499 0.7503  7.21
Rh 0.0000 0.0000 0.0000  -0.15
Ce 0.5000 0.5000 0.5000  0.72

## Properties
Its energy above the most stable polymorph in this dataset is 0.2019 eV/atom. The formation energy is -119 meV/atom. Its size of the total moment is 15.60 μB/cell.

> Look up the size of the total moment of the third one.

15.60 μB/cell

> Which value of size of the total moment does entry 3 give?

15.60 μB/cell